Entry 1:
First-principles (GGA-PBE) data for a relaxed RbCdSnAu crystal, as listed in OQMD.

```
data_RbCdSnAu
_cell_length_a 7.597
_cell_length_b 7.597
_cell_length_c 7.597
_cell_angle_alpha 90.00
_cell_angle_beta 90.00
_cell_angle_gamma 90.00
_symmetry_space_group_name_H-M 'P 1'
_symmetry_Int_Tables_number 1
loop_
_symmetry_equiv_pos_as_xyz
'x,y,z'
loop_
_atom_site_label
_atom_site_type_symbol
_atom_site_fract_x
_atom_site_fract_y
_atom_site_fract_z
Rb1 Rb 0.000 0.000 0.000
Rb2 Rb 0.000 0.500 0.500
Rb3 Rb 0.500 0.000 0.500
Rb4 Rb 0.500 0.500 0.000
Cd1 Cd 0.000 0.000 0.500
Cd2 Cd 0.000 0.500 0.000
Cd3 Cd 0.500 0.000 0.000
Cd4 Cd 0.500 0.500 0.500
Sn1 Sn 0.250 0.250 0.250
Sn2 Sn 0.250 0.750 0.750
Sn3 Sn 0.750 0.250 0.750
Sn4 Sn 0.750 0.750 0.250
Au1 Au 0.250 0.250 0.750
Au2 Au 0.250 0.750 0.250
Au3 Au 0.750 0.250 0.250
Au4 Au 0.750 0.750 0.750
```

Properties
- ΔE to the lowest computed polymorph (eV/atom) = 0.1133
- final energy (eV/atom) = -2.134
- calculated volume (Å³/cell) = 438


Entry 2:
First-principles (GGA-PBE) data for a relaxed AcZrGa crystal, as listed in OQMD.

```
data_AcZrGa
_cell_length_a 7.091
_cell_length_b 7.091
_cell_length_c 7.091
_cell_angle_alpha 90.00
_cell_angle_beta 90.00
_cell_angle_gamma 90.00
_symmetry_space_group_name_H-M 'P 1'
_symmetry_Int_Tables_number 1
loop_
_symmetry_equiv_pos_as_xyz
'x,y,z'
loop_
_atom_site_label
_atom_site_type_symbol
_atom_site_fract_x
_atom_site_fract_y
_atom_site_fract_z
Ac1 Ac 0.000 0.000 0.000
Ac2 Ac 0.000 0.500 0.500
Ac3 Ac 0.500 0.000 0.500
Ac4 Ac 0.500 0.500 0.000
Zr1 Zr 0.000 0.000 0.500
Zr2 Zr 0.000 0.500 0.000
Zr3 Zr 0.500 0.000 0.000
Zr4 Zr 0.500 0.500 0.500
Ga1 Ga 0.250 0.250 0.250
Ga2 Ga 0.250 0.750 0.750
Ga3 Ga 0.750 0.250 0.750
Ga4 Ga 0.750 0.750 0.250
```

Properties
- ΔE to the lowest computed polymorph (eV/atom) = 0.0000
- final energy (eV/atom) = -5.135
- calculated volume (Å³/cell) = 357
- total magnetization (Bohr magnetons per cell) = 0.098


Entry 3:
First-principles (GGA-PBE) data for a relaxed LuFeNi crystal, as listed in OQMD.

```
data_LuFeNi
_cell_length_a 6.062
_cell_length_b 6.062
_cell_length_c 6.062
_cell_angle_alpha 90.00
_cell_angle_beta 90.00
_cell_angle_gamma 90.00
_symmetry_space_group_name_H-M 'P 1'
_symmetry_Int_Tables_number 1
loop_
_symmetry_equiv_pos_as_xyz
'x,y,z'
loop_
_atom_site_label
_atom_site_type_symbol
_atom_site_fract_x
_atom_site_fract_y
_atom_site_fract_z
Lu1 Lu 0.000 0.000 0.000
Lu2 Lu 0.000 0.500 0.500
Lu3 Lu 0.500 0.000 0.500
Lu4 Lu 0.500 0.500 0.000
Fe1 Fe 0.250 0.250 0.750
Fe2 Fe 0.250 0.750 0.250
Fe3 Fe 0.750 0.250 0.250
Fe4 Fe 0.750 0.750 0.750
Ni1 Ni 0.250 0.250 0.250
Ni2 Ni 0.250 0.750 0.750
Ni3 Ni 0.750 0.250 0.750
Ni4 Ni 0.750 0.750 0.250
```

Properties
- formation enthalpy at 0 K (eV/atom) = 0.77
- final energy (eV/atom) = -5.367
- calculated volume (Å³/cell) = 223
- total magnetization (Bohr magnetons per cell) = 9.008


Entry 4:
First-principles (GGA-PBE) data for a relaxed ScAgPbSe3 crystal, as listed in OQMD.

```
data_ScAgPbSe3
_cell_length_a 7.149
_cell_length_b 7.149
_cell_length_c 10.422
_cell_angle_alpha 90.00
_cell_angle_beta 90.00
_cell_angle_gamma 147.47
_symmetry_space_group_name_H-M 'P 1'
_symmetry_Int_Tables_number 1
loop_
_symmetry_equiv_pos_as_xyz
'x,y,z'
loop_
_atom_site_label
_atom_site_type_symbol
_atom_site_fract_x
_atom_site_fract_y
_atom_site_fract_z
Sc1 Sc 0.000 0.000 0.000
Sc2 Sc 0.000 0.000 0.500
Ag1 Ag 0.461 0.539 0.750
Ag2 Ag 0.539 0.461 0.250
Pb1 Pb 0.243 0.757 0.250
Pb2 Pb 0.757 0.243 0.750
Se1 Se 0.087 0.913 0.750
Se2 Se 0.362 0.638 0.540
Se3 Se 0.362 0.638 0.960
Se4 Se 0.638 0.362 0.040
Se5 Se 0.638 0.362 0.460
Se6 Se 0.913 0.087 0.250
```

Properties
- ΔE to the lowest computed polymorph (eV/atom) = 0.0309
- final energy (eV/atom) = -4.737
- calculated volume (Å³/cell) = 286
- total magnetization (Bohr magnetons per cell) = 0.009


Entry 5:
First-principles (GGA-PBE) data for a relaxed Bi2Mo8C3N3 crystal, as listed in OQMD.

```
data_Bi2Mo8C3N3
_cell_length_a 3.243
_cell_length_b 3.243
_cell_length_c 23.632
_cell_angle_alpha 90.00
_cell_angle_beta 90.00
_cell_angle_gamma 120.00
_symmetry_space_group_name_H-M 'P 1'
_symmetry_Int_Tables_number 1
loop_
_symmetry_equiv_pos_as_xyz
'x,y,z'
loop_
_atom_site_label
_atom_site_type_symbol
_atom_site_fract_x
_atom_site_fract_y
_atom_site_fract_z
Bi1 Bi 0.333 0.667 0.253
Bi2 Bi 0.667 0.333 0.747
Mo1 Mo 0.000 0.000 0.145
Mo2 Mo 0.000 0.000 0.362
Mo3 Mo 0.000 0.000 0.638
Mo4 Mo 0.000 0.000 0.855
Mo5 Mo 0.333 0.667 0.054
Mo6 Mo 0.333 0.667 0.447
Mo7 Mo 0.667 0.333 0.553
Mo8 Mo 0.667 0.333 0.946
C1 C 0.000 0.000 0.000
C2 C 0.333 0.667 0.892
C3 C 0.667 0.333 0.108
N1 N 0.000 0.000 0.500
N2 N 0.333 0.667 0.607
N3 N 0.667 0.333 0.393
```

Properties
- final energy (eV/atom) = -9.067
- calculated volume (Å³/cell) = 215
- total magnetization (Bohr magnetons per cell) = 0.000


Entry 6:
First-principles (GGA-PBE) data for a relaxed BaMgZnPt2 crystal, as listed in OQMD.

```
data_BaMgZnPt2
_cell_length_a 4.392
_cell_length_b 4.392
_cell_length_c 11.570
_cell_angle_alpha 90.00
_cell_angle_beta 90.00
_cell_angle_gamma 90.00
_symmetry_space_group_name_H-M 'P 1'
_symmetry_Int_Tables_number 1
loop_
_symmetry_equiv_pos_as_xyz
'x,y,z'
loop_
_atom_site_label
_atom_site_type_symbol
_atom_site_fract_x
_atom_site_fract_y
_atom_site_fract_z
Ba1 Ba 0.000 0.000 0.000
Ba2 Ba 0.500 0.500 0.500
Mg1 Mg 0.000 0.500 0.250
Mg2 Mg 0.500 0.000 0.750
Zn1 Zn 0.000 0.500 0.750
Zn2 Zn 0.500 0.000 0.250
Pt1 Pt 0.000 0.000 0.381
Pt2 Pt 0.000 0.000 0.619
Pt3 Pt 0.500 0.500 0.119
Pt4 Pt 0.500 0.500 0.881
```

Properties
- final energy (eV/atom) = -4.078
- calculated volume (Å³/cell) = 223
- total magnetization (Bohr magnetons per cell) = 0.003


Q: Which formula does entry 3 have?
A: LuFeNi


Q: Among the records above, which one has the lowest final energy?
A: Bi2Mo8C3N3


Q: Among the records above, which one has the lowest calculated volume?
A: Bi2Mo8C3N3


Q: Among the records above, which one has the lowest final energy?
A: Bi2Mo8C3N3